1.
Computed, not measured: AcLaAl after structural relaxation at the GGA-PBE level of DFT.

The structure in POSCAR format:
```
AcLaAl
1.0
3.976 0.000 0.000
0.000 5.285 0.000
0.000 -2.643 4.577
Ac Al La
1 1 1
Direct
0.980 0.000 0.000 Ac
0.643 0.667 0.333 Al
0.377 0.333 0.667 La
```

E_form = -30 kJ/mol of formula units
E above lowest polymorph = 0.075 eV/atom


2.
Computed, not measured: CoHPt after structural relaxation at the GGA-PBE level of DFT.

The structure in POSCAR format:
```
CoHPt
1.0
-1.173 0.927 2.308
-1.336 -1.797 -1.596
1.825 -3.392 2.290
H Co Pt
1 1 1
Direct
0.333 0.667 0.576 H
0.667 0.333 0.452 Co
0.000 0.000 0.972 Pt
```

E_tot = -5.42 eV/atom


3.
Computed, not measured: Y5Bi4Sb after structural relaxation at the GGA-PBE level of DFT.

The structure in POSCAR format:
```
Y5Bi4Sb
1.0
4.380 0.000 -0.845
-0.325 6.073 -1.686
0.007 0.000 11.812
Y Bi Sb
5 4 1
Direct
0.597 0.097 0.194 Y
0.799 0.299 0.599 Y
0.201 0.701 0.401 Y
0.000 0.500 0.000 Y
0.403 0.903 0.806 Y
0.400 0.400 0.800 Bi
0.801 0.801 0.602 Bi
0.199 0.199 0.398 Bi
0.600 0.600 0.200 Bi
0.000 0.000 0.000 Sb
```

uncorrected formation energy = -0.951 eV/atom


4.
Computed, not measured: Ce5Si2Cl2 after structural relaxation at the GGA-PBE level of DFT.

The structure in POSCAR format:
```
Ce5Si2Cl2
1.0
7.177 0.000 2.605
0.000 7.631 0.000
1.110 0.000 8.132
Ce Si Cl
10 4 4
Direct
0.000 0.000 0.000 Ce
0.500 0.500 0.000 Ce
0.464 0.169 0.725 Ce
0.811 0.831 0.725 Ce
0.311 0.669 0.725 Ce
0.964 0.331 0.725 Ce
0.536 0.831 0.275 Ce
0.189 0.169 0.275 Ce
0.689 0.331 0.275 Ce
0.036 0.669 0.275 Ce
0.121 0.379 0.000 Si
0.879 0.621 0.000 Si
0.379 0.879 0.000 Si
0.621 0.121 0.000 Si
0.197 0.000 0.605 Cl
0.697 0.500 0.605 Cl
0.803 0.000 0.395 Cl
0.303 0.500 0.395 Cl
```

uncorrected formation energy = -0.890 eV/atom


5.
Computed, not measured: LiDyPuOs after structural relaxation at the GGA-PBE level of DFT.

The structure in POSCAR format:
```
LiDyPuOs
1.0
-1.391 4.530 1.144
-4.607 1.401 -0.761
-2.976 0.753 3.787
Dy Os Li Pu
1 1 1 1
Direct
0.750 0.750 0.750 Dy
0.500 0.500 0.500 Os
0.000 0.000 0.000 Li
0.250 0.250 0.250 Pu
```

E_form = -26 kJ/mol of formula units


6.
Computed, not measured: ErGaPt5 after structural relaxation at the GGA-PBE level of DFT.

The structure in POSCAR format:
```
ErGaPt5
1.0
4.054 0.000 0.000
0.000 4.054 0.000
0.000 0.000 7.328
Er Ga Pt
1 1 5
Direct
0.000 0.000 0.500 Er
0.500 0.500 0.000 Ga
0.000 0.500 0.787 Pt
0.000 0.500 0.213 Pt
0.500 0.000 0.787 Pt
0.500 0.000 0.213 Pt
0.500 0.500 0.500 Pt
```

E_form = -542 kJ/mol of formula units


Spin magnetization readings, ordered: 0.0, 1.7, 0.0, 8.0, 5.5, 0.0 Bohr magnetons per cell